(1)
Density functional theory data (PBE-GGA) for crystalline Nb2ZnB2Ir5 at its relaxed geometry.

Cell: 2.893 9.619 9.619 Å, 90.00 90.00 90.00°
Positions (direct):
Ir: 0.500 0.784 0.939
Ir: 0.500 0.000 0.500
Ir: 0.500 0.716 0.439
Ir: 0.500 0.939 0.216
Ir: 0.500 0.561 0.716
Ir: 0.500 0.500 0.000
Ir: 0.500 0.439 0.284
Ir: 0.500 0.216 0.061
Ir: 0.500 0.061 0.784
Ir: 0.500 0.284 0.561
Nb: 0.000 0.817 0.683
Nb: 0.000 0.183 0.317
Nb: 0.000 0.683 0.183
Nb: 0.000 0.317 0.817
Zn: 0.000 0.000 0.000
Zn: 0.000 0.500 0.500
B: 0.000 0.373 0.127
B: 0.000 0.627 0.873
B: 0.000 0.873 0.373
B: 0.000 0.127 0.627

## Properties
Density of states at the Fermi level in states/eV per atom: 0.562
Total energy in eV/atom: -8.362
Formation energy from the elements in eV per atom: -0.4542

=====

(2)
Density functional theory data (PBE-GGA) for crystalline K4Rb3AgF8 at its relaxed geometry.

Cell: 7.726 7.717 7.773 Å, 119.48 119.80 90.00°
Positions (direct):
Rb: 0.000 0.500 0.500
Rb: 0.500 0.500 0.000
Rb: 0.500 0.500 0.500
K: 0.500 0.000 0.500
K: 0.000 0.000 0.500
K: 0.000 0.000 0.000
K: 0.500 0.000 0.000
F: 0.227 0.255 0.992
F: 0.773 0.745 0.008
F: 0.737 0.228 0.475
F: 0.764 0.255 0.992
F: 0.263 0.772 0.525
F: 0.236 0.745 0.008
F: 0.245 0.236 0.491
F: 0.755 0.764 0.509
Ag: 0.000 0.500 0.000

## Properties
Density of states at the Fermi level in states/eV per atom: 0.000
Total energy in eV/atom: -4.038
ΔE_f (raw) in eV/atom: -2.47

=====

(3)
Density functional theory data (PBE-GGA) for crystalline YBr at its relaxed geometry.

Cell: 7.945 7.945 7.945 Å, 90.00 90.00 90.00°
Positions (direct):
Y: 0.750 0.000 0.500
Y: 0.500 0.250 0.000
Y: 0.250 0.000 0.500
Y: 0.000 0.500 0.250
Y: 0.000 0.500 0.750
Y: 0.500 0.750 0.000
Br: 0.000 0.750 0.500
Br: 0.250 0.500 0.000
Br: 0.500 0.000 0.250
Br: 0.000 0.250 0.500
Br: 0.750 0.500 0.000
Br: 0.500 0.000 0.750

## Properties
Density of states at the Fermi level in states/eV per atom: 1.579
Total energy in eV/atom: -4.385
ΔE_f (raw) in eV/atom: -0.32

=====

(4)
Density functional theory data (PBE-GGA) for crystalline BaTe2Ru at its relaxed geometry.

Cell: 8.194 8.194 6.914 Å, 53.66 53.66 90.00°
Positions (direct):
Ba: 0.750 0.250 0.500
Ba: 0.000 0.000 0.000
Ru: 0.250 0.750 0.500
Ru: 0.500 0.500 0.000
Te: 0.875 0.776 0.750
Te: 0.224 0.625 0.250
Te: 0.375 0.474 0.750
Te: 0.526 0.125 0.250

## Properties
Density of states at the Fermi level in states/eV per atom: 0.011
Total energy in eV/atom: -5.002
ΔE_f (raw) in eV/atom: -0.63
E above lowest polymorph in eV/f.u.: 0.160

=====

(5)
Density functional theory data (PBE-GGA) for crystalline Pt3W2 at its relaxed geometry.

Cell: 11.650 11.650 11.650 Å, 13.82 13.82 13.82°
Positions (direct):
Pt: 0.798 0.798 0.798
Pt: 0.202 0.202 0.202
Pt: 0.000 0.000 0.000
W: 0.600 0.600 0.600
W: 0.400 0.400 0.400

## Properties
Density of states at the Fermi level in states/eV per atom: 1.032
Total energy in eV/atom: -8.928
Formation energy from the elements in eV per atom: -0.1218

=====

(6)
Density functional theory data (PBE-GGA) for crystalline CsNb3Ga at its relaxed geometry.

Cell: 5.017 5.017 5.017 Å, 90.00 90.00 90.00°
Positions (direct):
Ga: 0.000 0.000 0.000
Cs: 0.500 0.500 0.500
Nb: 0.000 0.000 0.500
Nb: 0.500 0.000 0.000
Nb: 0.000 0.500 0.000

## Properties
Density of states at the Fermi level in states/eV per atom: 2.277
Total energy in eV/atom: -5.179
Formation energy from the elements in eV per atom: 1.6385
E above lowest polymorph in eV/f.u.: 0.000

=====

(7)
Density functional theory data (PBE-GGA) for crystalline K8PO3 at its relaxed geometry.

Cell: 6.845 6.845 6.845 Å, 90.00 90.00 90.00°
Positions (direct):
P: 0.000 0.000 0.000
O: 0.500 0.000 0.500
O: 0.000 0.500 0.500
O: 0.500 0.500 0.000
K: 0.264 0.736 0.736
K: 0.736 0.264 0.264
K: 0.736 0.264 0.736
K: 0.264 0.264 0.264
K: 0.264 0.736 0.264
K: 0.736 0.736 0.264
K: 0.736 0.736 0.736
K: 0.264 0.264 0.736

## Properties
Density of states at the Fermi level in states/eV per atom: 1.020
Total energy in eV/atom: -3.134
ΔE_f (raw) in eV/atom: -0.71

=====

(8)
Density functional theory data (PBE-GGA) for crystalline CaTePd at its relaxed geometry.

Cell: 5.276 5.276 5.841 Å, 90.00 90.00 90.00°
Positions (direct):
Ca: 0.500 0.000 0.159
Ca: 0.000 0.500 0.841
Te: 0.000 0.000 0.500
Te: 0.500 0.500 0.500
Pd: 0.500 0.000 0.672
Pd: 0.000 0.500 0.328

## Properties
Density of states at the Fermi level in states/eV per atom: 0.563
Total energy in eV/atom: -4.055
ΔE_f (raw) in eV/atom: -0.61

=====

(9)
Density functional theory data (PBE-GGA) for crystalline Tm2FeSi4 at its relaxed geometry.

Cell: 7.718 7.718 3.960 Å, 90.00 90.00 149.40°
Positions (direct):
Si: 0.457 0.543 0.000
Si: 0.743 0.257 0.000
Si: 0.565 0.435 0.500
Si: 0.242 0.758 0.500
Tm: 0.900 0.100 0.500
Tm: 0.102 0.898 0.000
Fe: 0.306 0.694 0.000

## Properties
Density of states at the Fermi level in states/eV per atom: 0.412
Total energy in eV/atom: -6.195
ΔE_f (raw) in eV/atom: -0.61

=====

(10)
Density functional theory data (PBE-GGA) for crystalline YSi2Pt7 at its relaxed geometry.

Cell: 4.042 4.042 10.512 Å, 101.09 101.09 90.00°
Positions (direct):
Pt: 0.393 0.893 0.785
Pt: 0.250 0.750 0.500
Pt: 0.750 0.250 0.500
Pt: 0.500 0.500 0.000
Pt: 0.893 0.393 0.785
Pt: 0.107 0.607 0.215
Pt: 0.607 0.107 0.215
Si: 0.677 0.677 0.353
Si: 0.323 0.323 0.647
Y: 0.000 0.000 0.000

## Properties
Density of states at the Fermi level in states/eV per atom: 0.260
Total energy in eV/atom: -6.828
ΔE_f (raw) in eV/atom: -0.87

=====

(11)
Density functional theory data (PBE-GGA) for crystalline NbReSn2 at its relaxed geometry.

Cell: 4.073 4.073 10.410 Å, 78.72 78.72 90.00°
Positions (direct):
Re: 0.750 0.250 0.500
Re: 0.000 0.000 0.000
Nb: 0.250 0.750 0.500
Nb: 0.500 0.500 0.000
Sn: 0.875 0.878 0.750
Sn: 0.628 0.125 0.250
Sn: 0.375 0.372 0.750
Sn: 0.122 0.625 0.250

## Properties
Density of states at the Fermi level in states/eV per atom: 1.074
Total energy in eV/atom: -6.998
Formation energy from the elements in eV per atom: 0.6329
E above lowest polymorph in eV/f.u.: 0.961

=====

(12)
Density functional theory data (PBE-GGA) for crystalline AlAg3 at its relaxed geometry.

Cell: 4.945 5.828 5.025 Å, 88.03 100.07 75.65°
Positions (direct):
Ag: 0.495 0.631 0.235
Ag: 0.514 0.383 0.756
Ag: 0.008 0.250 0.499
Ag: 0.986 0.992 0.994
Ag: 0.005 0.744 0.515
Ag: 0.492 0.125 0.251
Al: 0.497 0.881 0.738
Al: 0.003 0.494 0.012

## Properties
Density of states at the Fermi level in states/eV per atom: 0.288
Total energy in eV/atom: -3.108
Formation energy from the elements in eV per atom: -0.0336

=====

(13)
Density functional theory data (PBE-GGA) for crystalline HoZrAgOs at its relaxed geometry.

Cell: 4.836 4.836 4.836 Å, 60.00 60.00 60.00°
Positions (direct):
Ag: 0.250 0.250 0.250
Ho: 0.000 0.000 0.000
Os: 0.750 0.750 0.750
Zr: 0.500 0.500 0.500

## Properties
Density of states at the Fermi level in states/eV per atom: 0.742
Total energy in eV/atom: -7.036
Formation energy from the elements in eV per atom: -0.2345

=====

(14)
Density functional theory data (PBE-GGA) for crystalline LaCuIr2 at its relaxed geometry.

Cell: 4.139 4.139 4.147 Å, 90.00 90.00 90.01°
Positions (direct):
La: 0.500 0.000 0.500
Ir: 0.500 0.500 0.000
Ir: 0.000 0.000 0.000
Cu: 0.000 0.500 0.500

## Properties
Density of states at the Fermi level in states/eV per atom: 1.096
Total energy in eV/atom: -6.803
Formation energy from the elements in eV per atom: -0.1169
E above lowest polymorph in eV/f.u.: 1.127

=====

(15)
Density functional theory data (PBE-GGA) for crystalline Sc2GaTeMo at its relaxed geometry.

Cell: 5.049 5.336 5.049 Å, 90.00 90.00 90.00°
Positions (direct):
Mo: 0.500 0.500 0.500
Sc: 0.000 0.000 0.500
Sc: 0.500 0.000 0.000
Ga: 0.000 0.000 0.000
Te: 0.000 0.500 0.000

## Properties
Density of states at the Fermi level in states/eV per atom: 1.075
Total energy in eV/atom: -5.042
ΔE_f (raw) in eV/atom: 0.89

=====

(16)
Density functional theory data (PBE-GGA) for crystalline ScTaGeP2 at its relaxed geometry.

Cell: 4.709 4.813 4.709 Å, 90.00 90.00 90.00°
Positions (direct):
Sc: 0.500 0.500 0.500
P: 0.500 0.000 0.000
P: 0.000 0.000 0.500
Ta: 0.000 0.500 0.000
Ge: 0.000 0.000 0.000

## Properties
Density of states at the Fermi level in states/eV per atom: 1.005
Total energy in eV/atom: -5.870
Formation energy from the elements in eV per atom: 0.8546

=====

(17)
Density functional theory data (PBE-GGA) for crystalline Th4Os2PdS at its relaxed geometry.

Cell: 4.133 7.235 7.309 Å, 109.61 90.00 90.00°
Positions (direct):
Th: 0.500 0.742 0.726
Th: 0.500 0.258 0.274
Th: 0.000 0.757 0.273
Th: 0.000 0.243 0.727
Os: 0.500 0.000 0.500
Os: 0.000 0.500 0.500
S: 0.000 0.000 0.000
Pd: 0.500 0.500 0.000

## Properties
Density of states at the Fermi level in states/eV per atom: 0.373
Total energy in eV/atom: -8.468
ΔE_f (raw) in eV/atom: -0.79

=====

(18)
Density functional theory data (PBE-GGA) for crystalline Ca2PSe at its relaxed geometry.

Cell: 5.935 4.143 4.197 Å, 90.01 90.00 90.00°
Positions (direct):
Ca: 0.500 0.375 0.375
Ca: 0.000 0.875 0.875
P: 0.000 0.375 0.375
Se: 0.500 0.875 0.875

## Properties
Density of states at the Fermi level in states/eV per atom: 1.116
Total energy in eV/atom: -4.550
ΔE_f (raw) in eV/atom: -1.33
E above lowest polymorph in eV/f.u.: 0.073

=====

(19)
Density functional theory data (PBE-GGA) for crystalline Tm2Sn2O7 at its relaxed geometry.

Cell: 7.364 7.364 7.364 Å, 60.00 60.00 60.00°
Positions (direct):
Sn: 0.625 0.625 0.125
Sn: 0.125 0.625 0.625
Sn: 0.625 0.625 0.625
Sn: 0.625 0.125 0.625
O: 0.250 0.250 0.250
O: 0.966 0.966 0.534
O: 0.716 0.716 0.284
O: 0.000 0.000 0.000
O: 0.284 0.716 0.716
O: 0.716 0.284 0.284
O: 0.534 0.534 0.966
O: 0.534 0.966 0.966
O: 0.284 0.284 0.716
O: 0.966 0.534 0.966
O: 0.534 0.966 0.534
O: 0.716 0.284 0.716
O: 0.284 0.716 0.284
O: 0.966 0.534 0.534
Tm: 0.125 0.125 0.625
Tm: 0.125 0.125 0.125
Tm: 0.125 0.625 0.125
Tm: 0.625 0.125 0.125

## Properties
Density of states at the Fermi level in states/eV per atom: 0.000
Total energy in eV/atom: -7.287
ΔE_f (raw) in eV/atom: -2.59

=====

(20)
Density functional theory data (PBE-GGA) for crystalline SmLuS at its relaxed geometry.

Cell: 3.763 3.763 6.357 Å, 90.00 90.00 120.00°
Positions (direct):
Lu: 0.333 0.667 0.593
S: 0.667 0.333 0.344
Sm: 0.000 0.000 0.063

## Properties
Density of states at the Fermi level in states/eV per atom: 0.680
Total energy in eV/atom: -5.693
ΔE_f (raw) in eV/atom: -1.24

=====

(21)
Density functional theory data (PBE-GGA) for crystalline CaPrYHg at its relaxed geometry.

Cell: 5.555 5.555 5.555 Å, 60.00 60.00 60.00°
Positions (direct):
Pr: 0.250 0.250 0.250
Y: 0.750 0.750 0.750
Hg: 0.500 0.500 0.500
Ca: 0.000 0.000 0.000

## Properties
Density of states at the Fermi level in states/eV per atom: 1.309
Total energy in eV/atom: -3.468
Formation energy from the elements in eV per atom: -0.0816
E above lowest polymorph in eV/f.u.: 0.666